Below is crystalline Pr2ScVO6 at its relaxed geometry, with properties calculated at the PBE with a Hubbard U level.

Unit cell a=5.581 b=5.778 c=8.025 alpha=90.00 beta=89.79 gamma=90.00
Last column: magnetic moment on the atom in μB.
Positions (direct):
O 0.901 0.532 0.253  0.00
Pr 0.985 0.055 0.750  0.00
O 0.794 0.799 0.948  0.00
O 0.294 0.701 0.448  0.00
Pr 0.015 0.945 0.250  0.00
V 0.000 0.500 0.500  1.86
Pr 0.485 0.445 0.250  0.00
O 0.099 0.468 0.747  0.00
Sc 0.000 0.500 0.000  0.01
O 0.599 0.032 0.247  0.00
O 0.302 0.708 0.052  0.00
V 0.500 0.000 0.000  1.86
O 0.706 0.299 0.552  0.00
O 0.198 0.208 0.448  0.00
Sc 0.500 0.000 0.500  0.01
O 0.802 0.792 0.552  0.00
O 0.698 0.292 0.948  0.00
Pr 0.515 0.555 0.750  0.00
O 0.401 0.968 0.753  0.00
O 0.206 0.201 0.052  0.00

The value obtained for the uncorrected energy is -8.424 eV per atom. Its symmetry is No. 14.